[1]
# LaPu2Si

A geometry-optimized LaPu2Si structure (PBE-GGA, Alexandria via LeMat-Bulk).

abc: 4.5331 4.5331 4.7785
angles: 90.00 90.00 90.00
Closest atoms and distances in Å follow each position.
Fractional positions:
La1 0.0000 0.0000 0.0000  4 Si 3.21, 8 Pu 3.29
Pu1 0.0000 0.5000 0.5000  4 Pu 3.21, 4 La 3.29, 4 Si 3.29
Pu2 0.5000 0.0000 0.5000  4 Pu 3.21, 4 La 3.29, 4 Si 3.29
Si1 0.5000 0.5000 0.0000  4 La 3.21, 8 Pu 3.29

Summary:
crystal system	tetragonal
symmetry	No. 123
E above lowest polymorph	0.0	meV/atom

***

[2]
# LaPuSi3

A geometry-optimized LaPuSi3 structure (PBE-GGA, Alexandria via LeMat-Bulk).

abc: 12.6586 12.6586 3.9891
angles: 90.00 90.00 160.27
Closest atoms and distances in Å follow each position.
Fractional positions:
La1 0.0712 0.9288 0.7500  12 Si 3.16-3.38
La2 0.9288 0.0712 0.2500  12 Si 3.16-3.38
Pu1 0.2051 0.7949 0.2500  7 Si 2.99-3.04
Pu2 0.7949 0.2051 0.7500  7 Si 2.99-3.04
Si1 0.3249 0.6751 0.2500  2 Si 2.41
Si2 0.3790 0.6210 0.7500  3 Si 2.40-2.41
Si3 0.4751 0.5249 0.7500  3 Si 2.35-2.40
Si4 0.5249 0.4751 0.2500  3 Si 2.35-2.40
Si5 0.6210 0.3790 0.2500  3 Si 2.40-2.41
Si6 0.6751 0.3249 0.7500  2 Si 2.41

Summary:
crystal system	orthorhombic
symmetry	No. 63

***

[3]
# LaPuSi

A geometry-optimized LaPuSi structure (PBE-GGA, Alexandria via LeMat-Bulk).

abc: 7.7353 7.7353 4.5142
angles: 90.00 90.00 120.00
Closest atoms and distances in Å follow each position.
Fractional positions:
La1 0.0000 0.5746 0.0000  5 Si 3.23-3.29, 2 Pu 3.40
La2 0.4254 0.4254 0.0000  5 Si 3.23-3.29, 2 Pu 3.40
La3 0.5746 0.0000 0.0000  5 Si 3.23-3.29, 2 Pu 3.40
Pu1 0.0000 0.2462 0.5000  4 Si 2.95-2.97, 2 Pu 3.30
Pu2 0.2462 0.0000 0.5000  4 Si 2.95-2.97, 2 Pu 3.30
Pu3 0.7538 0.7538 0.5000  4 Si 2.95-2.97, 2 Pu 3.30
Si1 0.0000 0.0000 0.0000  6 Pu 2.95, 3 La 3.29
Si2 0.3333 0.6667 0.5000  3 Pu 2.97, 6 La 3.23
Si3 0.6667 0.3333 0.5000  3 Pu 2.97, 6 La 3.23

Summary:
crystal system	hexagonal
symmetry	No. 189
E above lowest polymorph	0.0	meV/atom

***

[4]
# La3PuSi3

A geometry-optimized La3PuSi3 structure (PBE-GGA, Alexandria via LeMat-Bulk).

abc: 7.0397 7.0397 8.0892
angles: 95.19 95.19 112.55
Closest atoms and distances in Å follow each position.
Fractional positions:
La1 0.1936 0.8064 0.0000  6 Si 2.95-3.20
La2 0.2250 0.7750 0.5000  6 Si 3.13-3.38, 2 Pu 3.44
La3 0.3438 0.3438 0.1305  1 Pu 2.96, 4 Si 3.23
La4 0.6562 0.6562 0.8695  1 Pu 2.96, 4 Si 3.23
La5 0.7750 0.2250 0.5000  6 Si 3.13-3.38, 2 Pu 3.44
La6 0.8064 0.1936 0.0000  6 Si 2.95-3.20
Pu1 0.2788 0.2788 0.4812  4 Si 2.89-3.02, 1 La 2.96
Pu2 0.7212 0.7212 0.5188  4 Si 2.89-3.02, 1 La 2.96
Si1 0.0556 0.0556 0.7535  2 Si 2.46
Si2 0.1571 0.4335 0.7800  1 Si 2.46
Si3 0.4335 0.1571 0.7800  1 Si 2.46
Si4 0.5665 0.8429 0.2200  1 Si 2.46
Si5 0.8429 0.5665 0.2200  1 Si 2.46
Si6 0.9444 0.9444 0.2465  2 Si 2.46

Summary:
crystal system	monoclinic
symmetry	No. 12

***

[5]
# LaPuSi4

A geometry-optimized LaPuSi4 structure (PBE-GGA, Alexandria via LeMat-Bulk).

abc: 5.3898 5.3898 5.3898
angles: 60.00 60.00 60.00
Closest atoms and distances in Å follow each position.
Fractional positions:
La1 0.0000 0.0000 0.0000  12 Si 3.17, 4 Pu 3.30
Pu1 0.7500 0.7500 0.7500  12 Si 3.15, 4 La 3.30
Si1 0.3773 0.3773 0.3773  6 Si 2.64-2.75
Si2 0.3773 0.3773 0.8680  6 Si 2.64-2.75
Si3 0.3773 0.8680 0.3773  6 Si 2.64-2.75
Si4 0.8680 0.3773 0.3773  6 Si 2.64-2.75

Summary:
crystal system	cubic
symmetry	No. 216
E above lowest polymorph	172.8	meV/atom

***

[6]
# LaPu2Si4

A geometry-optimized LaPu2Si4 structure (PBE-GGA, Alexandria via LeMat-Bulk).

abc: 3.9363 4.3164 17.8326
angles: 90.00 90.00 90.00
Closest atoms and distances in Å follow each position.
Fractional positions:
La1 0.0000 0.0000 0.0000  12 Si 3.16-3.36
La2 0.5000 0.5000 0.5000  12 Si 3.16-3.36
Pu1 0.0000 0.5000 0.3127  7 Si 3.00-3.04
Pu2 0.0000 0.5000 0.6873  7 Si 3.00-3.04
Pu3 0.5000 0.0000 0.1873  7 Si 3.00-3.04
Pu4 0.5000 0.0000 0.8127  7 Si 3.00-3.04
Si1 0.0000 0.0000 0.4324  3 Si 2.40-2.41
Si2 0.0000 0.0000 0.5676  3 Si 2.40-2.41
Si3 0.0000 0.5000 0.1442  2 Si 2.40
Si4 0.0000 0.5000 0.8558  2 Si 2.40
Si5 0.5000 0.0000 0.3558  2 Si 2.40
Si6 0.5000 0.0000 0.6442  2 Si 2.40
Si7 0.5000 0.5000 0.0676  3 Si 2.40-2.41
Si8 0.5000 0.5000 0.9324  3 Si 2.40-2.41

Summary:
crystal system	orthorhombic
symmetry	No. 71

***

[7]
# LaPuSi4

A geometry-optimized LaPuSi4 structure (PBE-GGA, Alexandria via LeMat-Bulk).

abc: 4.0654 4.1540 7.1352
angles: 90.00 90.00 90.00
Closest atoms and distances in Å follow each position.
Fractional positions:
La1 0.0000 0.0000 0.0000  12 Si 3.15-3.19
Pu1 0.5000 0.0000 0.5000  12 Si 3.13
Si1 0.0000 0.5000 0.3387  3 Si 2.30-2.35
Si2 0.0000 0.5000 0.6613  3 Si 2.30-2.35
Si3 0.5000 0.5000 0.1720  3 Si 2.35-2.46
Si4 0.5000 0.5000 0.8280  3 Si 2.35-2.46

Summary:
crystal system	orthorhombic
symmetry	No. 47
E above lowest polymorph	0.0	meV/atom

***

[8]
# La2PuSi4

A geometry-optimized La2PuSi4 structure (PBE-GGA, Alexandria via LeMat-Bulk).

abc: 3.9877 4.3772 18.2807
angles: 90.00 90.00 90.00
Closest atoms and distances in Å follow each position.
Fractional positions:
La1 0.0000 0.0000 0.1820  7 Si 3.08-3.33
La2 0.0000 0.0000 0.8180  7 Si 3.08-3.33
La3 0.5000 0.5000 0.3180  7 Si 3.08-3.33
La4 0.5000 0.5000 0.6820  7 Si 3.08-3.33
Pu1 0.0000 0.5000 0.5000  12 Si 3.18-3.31
Pu2 0.5000 0.0000 0.0000  12 Si 3.18-3.31
Si1 0.0000 0.0000 0.3642  2 Si 2.40
Si2 0.0000 0.0000 0.6358  2 Si 2.40
Si3 0.0000 0.5000 0.0630  3 Si 2.30-2.40
Si4 0.0000 0.5000 0.9370  3 Si 2.30-2.40
Si5 0.5000 0.0000 0.4370  3 Si 2.30-2.40
Si6 0.5000 0.0000 0.5630  3 Si 2.30-2.40
Si7 0.5000 0.5000 0.1358  2 Si 2.40
Si8 0.5000 0.5000 0.8642  2 Si 2.40

Summary:
crystal system	orthorhombic
symmetry	No. 71

***

[9]
# La2PuSi6

A geometry-optimized La2PuSi6 structure (PBE-GGA, Alexandria via LeMat-Bulk).

abc: 7.1222 7.1222 4.2099
angles: 90.00 90.00 120.00
Closest atoms and distances in Å follow each position.
Fractional positions:
La1 0.3333 0.6667 0.0000  12 Si 3.18
La2 0.6667 0.3333 0.0000  12 Si 3.18
Pu1 0.0000 0.0000 0.0000  12 Si 3.15
Si1 0.0000 0.3294 0.5000  3 Si 2.35-2.43
Si2 0.0000 0.6706 0.5000  3 Si 2.35-2.43
Si3 0.3294 0.0000 0.5000  3 Si 2.35-2.43
Si4 0.3294 0.3294 0.5000  3 Si 2.35-2.43
Si5 0.6706 0.0000 0.5000  3 Si 2.35-2.43
Si6 0.6706 0.6706 0.5000  3 Si 2.35-2.43

Summary:
crystal system	hexagonal
symmetry	No. 191

***

[10]
# LaPuSi

A geometry-optimized LaPuSi structure (PBE-GGA, Alexandria via LeMat-Bulk).

abc: 5.0037 5.0037 14.3906
angles: 90.00 90.00 120.00
Closest atoms and distances in Å follow each position.
Fractional positions:
La1 0.0000 0.0000 0.0000  6 Si 3.28, 6 Pu 3.31, 2 La 3.60
La2 0.0000 0.0000 0.2500  6 Pu 3.51, 6 Si 3.53, 2 La 3.60
La3 0.0000 0.0000 0.5000  6 Si 3.28, 6 Pu 3.31, 2 La 3.60
La4 0.0000 0.0000 0.7500  6 Pu 3.51, 6 Si 3.53, 2 La 3.60
Pu1 0.3333 0.6667 0.1117  4 Si 2.89-3.17
Pu2 0.3333 0.6667 0.3883  4 Si 2.89-3.17
Pu3 0.6667 0.3333 0.6117  4 Si 2.89-3.17
Pu4 0.6667 0.3333 0.8883  4 Si 2.89-3.17
Si1 0.3333 0.6667 0.6086  4 Pu 2.89-3.17
Si2 0.3333 0.6667 0.8914  4 Pu 2.89-3.17
Si3 0.6667 0.3333 0.1086  4 Pu 2.89-3.17
Si4 0.6667 0.3333 0.3914  4 Pu 2.89-3.17

Summary:
crystal system	hexagonal
symmetry	No. 194
E above lowest polymorph	217.9	meV/atom

***

| no. | formation energy from raw total energies (eV/atom) | total DFT energy (no corrections) (eV/atom) | volume (Å³ per atom) |
| --- | --- | --- | --- |
| 1 | -0.202 | -9.956 | 24.549 |
| 2 | -0.580 | -7.686 | 21.576 |
| 3 | -0.447 | -8.674 | 25.991 |
| 4 | -0.430 | -6.913 | 26.093 |
| 5 | -0.364 | -7.190 | 18.453 |
| 6 | -0.553 | -8.450 | 21.642 |
| 7 | -0.537 | -7.362 | 20.083 |
| 8 | -0.602 | -7.156 | 22.792 |
| 9 | -0.575 | -6.877 | 20.549 |
| 10 | -0.229 | -8.457 | 26.002 |